Entry 1:
BaGa2Br8 | PBE | optimized geometry

```
11
Lattice="7.0031 -5.0872 0.0000 7.0031 5.0872 0.0000 -1.5754 0.0000 6.9001" Properties=species:S:1:pos:R:3 pbc="T T T"
Ba 0.0000 0.0000 0.0000
Ga 1.8522 0.0000 4.6607
Ga 10.5786 0.0000 2.2394
Br 4.9288 3.1872 1.7100
Br 2.3293 0.0000 2.3209
Br 7.5020 3.1872 5.1901
Br 3.8579 0.0000 5.8222
Br 8.5730 0.0000 1.0779
Br 4.9288 -3.1872 1.7100
Br 10.1015 0.0000 4.5792
Br 7.5020 -3.1872 5.1901
```

## Properties
Crystal system   monoclinic

***

Entry 2:
BaGa2Br6 | PBE | optimized geometry

```
18
Lattice="7.5775 -6.9838 0.0000 7.5775 6.9838 0.0000 -0.8703 0.0000 6.9386" Properties=species:S:1:pos:R:3 pbc="T T T"
Ba 6.9248 5.6527 5.2039
Ba 7.3599 -5.6527 1.7346
Ga 5.6970 0.9879 5.1658
Ga 6.1321 -0.9879 1.6965
Ga 8.1526 0.9879 5.2421
Ga 8.5877 -0.9879 1.7728
Br 1.2588 1.1134 4.5274
Br 4.7691 2.9733 6.0080
Br 1.6939 -1.1134 1.0581
Br 4.8427 0.8403 2.8063
Br 4.4075 -0.8403 6.2756
Br 9.0805 2.9733 4.3999
Br 5.2042 -2.9733 2.5387
Br 9.8772 0.8403 0.6630
Br 9.4421 -0.8403 4.1323
Br 12.5908 1.1134 5.8804
Br 9.5156 -2.9733 0.9306
Br 13.0259 -1.1134 2.4111
```

## Properties
Crystal system   monoclinic

***

Entry 3:
Ba3GaBr | PBE | optimized geometry

```
5
Lattice="6.5051 0.0000 0.0000 0.0000 6.5051 0.0000 0.0000 0.0000 6.5051" Properties=species:S:1:pos:R:3 pbc="T T T"
Ba 0.0000 0.0000 3.2526
Ba 0.0000 3.2526 0.0000
Ba 3.2526 0.0000 0.0000
Ga 0.0000 0.0000 0.0000
Br 3.2526 3.2526 3.2526
```

## Properties
Crystal system   cubic

***

Entry 4:
Ba5GaBr5 | PBE | optimized geometry

```
11
Lattice="7.8369 -3.3516 0.0000 7.8369 3.3516 0.0000 -3.0873 0.0000 9.2101" Properties=species:S:1:pos:R:3 pbc="T T T"
Ba 0.0000 0.0000 0.0000
Ba 3.3076 0.0000 6.2996
Ba 4.9747 0.0000 1.5275
Ba 7.6117 0.0000 7.6826
Ba 9.2789 0.0000 2.9105
Ga 7.8369 0.0000 0.0000
Br 0.1953 0.0000 7.7859
Br 1.8866 0.0000 3.0927
Br 6.2932 0.0000 4.6051
Br 10.6998 0.0000 6.1174
Br 12.3912 0.0000 1.4242
```

## Properties
Crystal system   monoclinic

***

Entry 5:
Ba2GaBr | PBE | optimized geometry

```
4
Lattice="3.9937 0.0000 0.0000 0.0000 3.9937 0.0000 0.0000 0.0000 8.9833" Properties=species:S:1:pos:R:3 pbc="T T T"
Ba 0.0000 0.0000 2.0671
Ba 0.0000 0.0000 6.9162
Ga 1.9968 1.9968 0.0000
Br 1.9968 1.9968 4.4917
```

## Properties
Crystal system   tetragonal

***

Entry 6:
Ba4GaBr3 | PBE | optimized geometry

```
16
Lattice="8.3281 0.0000 0.0000 0.0000 9.7749 0.0000 -2.7392 0.0000 8.0116" Properties=species:S:1:pos:R:3 pbc="T T T"
Ba 1.9502 1.0854 0.0301
Ba 0.6366 3.5647 3.8586
Ba -0.7330 6.2102 7.8644
Ba 0.5806 8.6894 4.0359
Ba 5.0083 1.0854 3.9756
Ba 6.3219 3.5647 0.1472
Ba 4.9523 6.2102 4.1530
Ba 3.6387 8.6894 7.9814
Ga -0.6848 1.2942 2.0029
Ga -2.0544 8.4807 6.0087
Br -2.0544 3.6847 6.0087
Br -0.6848 6.0902 2.0029
Br 2.1097 1.4214 6.0087
Br 3.4792 3.8054 2.0029
Br 2.1097 5.9695 6.0087
Br 3.4792 8.3534 2.0029
```

## Properties
Crystal system   monoclinic

***

Entry 7:
Ba2GaBr | PBE | optimized geometry

```
8
Lattice="-4.3215 4.3215 4.8317 4.3215 -4.3215 4.8317 4.3215 4.3215 -4.8317" Properties=species:S:1:pos:R:3 pbc="T T T"
Ba 6.4822 2.1531 -1.2079
Ba 2.1531 2.1607 1.2079
Ba -2.1607 2.1684 3.6238
Ba 2.1684 2.1607 6.0396
Ga 4.3215 0.0000 2.4158
Ga 0.0000 0.0000 4.8317
Br 0.0000 0.0000 0.0000
Br 0.0000 4.3215 2.4158
```

## Properties
Crystal system   tetragonal

***

Entry 8:
BaGa3Br12 | PBE | optimized geometry

```
32
Lattice="5.9711 3.4474 11.8907 -5.9711 3.4474 11.8907 0.0000 -6.8949 11.8907" Properties=species:S:1:pos:R:3 pbc="T T T"
Ba 0.0000 0.0000 0.0000
Ba 0.0000 0.0000 17.8361
Ga -1.3324 -3.3330 13.8404
Ga -3.7509 -0.6270 19.7858
Ga -2.2202 2.8204 13.8404
Ga 2.4185 -2.9349 19.7858
Ga 3.5526 0.5126 13.8404
Ga 1.3324 3.5619 19.7858
Br -3.1770 -1.9201 13.6448
Br -2.7942 1.5273 7.6995
Br 0.0744 -3.1835 7.6995
Br -0.0496 -3.4443 11.8450
Br -3.0131 -1.6823 17.7904
Br -2.9581 1.7652 11.8450
Br -3.6182 -2.2449 21.5385
Br -2.3530 1.2026 15.5931
Br -3.8145 -2.3804 26.1974
Br 0.1350 -2.6390 15.5931
Br -2.1567 1.0671 20.2520
Br 0.1542 -2.4013 20.2520
Br 2.7198 1.6562 7.6995
Br -0.0744 3.7114 13.6448
Br 3.2513 -1.7913 13.6448
Br 2.9634 -1.7683 17.7904
Br 3.0077 1.6792 11.8450
Br 0.0496 3.4506 17.7904
Br 2.2179 1.4364 15.5931
Br -0.1350 4.2559 21.5385
Br 2.0025 1.3342 20.2520
Br 3.7532 -2.0110 21.5385
Br -0.1542 4.4936 26.1974
Br 3.9687 -2.1133 26.1974
```

## Properties
Crystal system   trigonal

***

The records above give, respectively, density values of 3.1; 3.4; 3.4; 4.0; 4.9; 4.4; 3.9; 3.0 g/cm³.
The records above give, respectively, raw formation energy values of -1.20; -1.14; -0.45; -1.56; -0.94; -1.32; -0.75; -0.99 eV per atom.